Crystalline EuUCo2 at its relaxed geometry, computed with GGA-PBE.

Its total magnetization is 7.24 μB/f.u. The density of states at the Fermi level is 15.8 states/eV per cell. Its formation energy is 0.096 eV/atom.

The structure belongs to space group R-3m (No. 166, hexagonal axes); the cell edges are 3.5592, 3.5592 and 21.7912 Å and the angles 90.00°, 90.00° and 120.00°. Symmetry generates all atoms from Eu at (0.0000, 0.0000, 0.0000), U at (0.0000, 0.0000, 0.5000) and Co at (0.0000, 0.0000, 0.2342).

---

Crystalline LaIn2W at its relaxed geometry, computed with GGA-PBE.

Its total magnetization is 0.00 μB/f.u. The density of states at the Fermi level is 3.6 states/eV per cell. Its formation energy is 0.380 eV/atom.

The structure belongs to space group Pmm2 (No. 25); the cell edges are 3.223, 3.938 and 7.788 Å and the angles 90.00°, 90.00° and 90.00°. Symmetry generates all atoms from La at (0.000, 0.000, 0.000), In at (0.000, 0.000, 0.434), In at (0.500, 0.500, 0.677) and W at (0.500, 0.500, 0.262).

---

Crystalline AlBiRh at its relaxed geometry, computed with GGA-PBE.

Its total magnetization is 0.00 μB/f.u. The density of states at the Fermi level is 5.1 states/eV per cell. Its formation energy is -0.491 eV/atom.

The structure belongs to space group P2_1/m (No. 11); the cell edges are 3.261, 3.324 and 10.854 Å and the angles 90.00°, 90.09° and 90.00°. Symmetry generates all atoms from Al at (0.250, 0.250, 0.070), Bi at (0.252, 0.250, 0.356) and Rh at (0.249, 0.250, 0.827).

---

Crystalline Pm3Y2ScTe6 at its relaxed geometry, computed with GGA-PBE.

Its total magnetization is 0.00 μB/f.u. The density of states at the Fermi level is 13.6 states/eV per cell. The calculation puts the uncorrected formation energy at -15.85 eV/f.u.

The structure belongs to space group C2/m (No. 12); the cell edges are 19.166, 4.353 and 8.835 Å and the angles 90.00°, 103.98° and 90.00°. Symmetry generates all atoms from Pm at (0.000, 0.000, 0.000), Pm at (0.172, 0.500, 0.337), Y at (0.167, 0.500, 0.834), Sc at (0.000, 0.000, 0.500), Te at (0.000, 0.500, 0.266), Te at (0.159, 0.000, 0.585) and Te at (0.168, 0.000, 0.079).

---

Number 1 is which compound?
EuUCo2